No. 1
Ba3I5: relaxed, PBE-GGA.

Its relative energy among the computed polymorphs is 0.0278 eV/atom. As for the uncorrected energy: -3.301 eV per atom. For the formation energy (no corrections), the calculation gives -1611.1 meV per atom.

The space group is P6_3/mcm (No. 193) and the conventional cell measures 9.9600, 9.9600 and 8.4701 Å, with angles of 90.00, 90.00 and 120.00 degrees. The asymmetric unit holds Ba at (0.0000, 0.4001, 0.2500), I at (0.0000, 0.2552, 0.7500) and I at (0.3333, 0.6667, 0.0000).

---

No. 2
PuReSi2W: relaxed, PBE-GGA.

As for the uncorrected energy: -10.410 eV per atom. For the formation energy (no corrections), the calculation gives -294.2 meV per atom.

The space group is I-4m2 (No. 119) and the conventional cell measures 3.951, 3.951 and 11.074 Å, with angles of 90.00, 90.00 and 90.00 degrees. The asymmetric unit holds Pu at (0.000, 0.000, 0.000), Re at (0.000, 0.500, 0.250), Si at (0.000, 0.000, 0.392) and W at (0.000, 0.500, 0.750).

---

No. 3
PuCuHg: relaxed, PBE-GGA.

The formation energy comes out at 27 meV/atom. As for the uncorrected energy: -6.216 eV per atom.

The space group is I4mm (No. 107) and the conventional cell measures 3.349, 3.349 and 11.335 Å, with angles of 90.00, 90.00 and 90.00 degrees. The asymmetric unit holds Pu at (0.000, 0.000, 0.000), Cu at (0.000, 0.000, 0.332) and Hg at (0.000, 0.000, 0.701).

---

No. 4
KTlMo2: relaxed, PBE-GGA.

The formation energy comes out at 1013 meV/atom. Its relative energy among the computed polymorphs is 0.4250 eV/atom. As for the uncorrected energy: -5.268 eV per atom.

The space group is Pmmm (No. 47) and the conventional cell measures 3.069, 4.759 and 7.350 Å, with angles of 90.00, 90.00 and 90.00 degrees. The asymmetric unit holds K at (0.000, 0.000, 0.000), Tl at (0.000, 0.000, 0.500) and Mo at (0.500, 0.500, 0.353).

---

No. 5
Hg2Pb5Au: relaxed, PBE-GGA.

The formation energy comes out at -9 meV/atom. As for the uncorrected energy: -2.811 eV per atom.

The space group is Pbam (No. 55) and the conventional cell measures 7.514, 12.676 and 4.833 Å, with angles of 90.00, 90.00 and 90.00 degrees. The asymmetric unit holds Hg at (0.123, 0.159, 0.000), Pb at (0.000, 0.000, 0.500), Pb at (0.115, 0.721, 0.500), Pb at (0.186, 0.413, 0.000) and Au at (0.000, 0.500, 0.500).

---

No. 6
Sm2Ho8Sn: relaxed, PBE-GGA.

The formation energy comes out at 31 meV/atom. As for the uncorrected energy: -4.521 eV per atom.

The space group is C2/m (No. 12) and the conventional cell measures 15.162, 6.624 and 7.029 Å, with angles of 90.00, 104.97 and 90.00 degrees. The asymmetric unit holds Sm at (0.191, 0.000, 0.443), Ho at (0.078, 0.264, 0.707), Ho at (0.104, 0.500, 0.190), Ho at (0.223, 0.000, 0.006) and Sn at (0.000, 0.000, 0.000).